! CdRe2Pd GGA-PBE relaxed; values from VASP
&SYSTEM
  ibrav = 0, nat = 8, ntyp = 3
/
ATOMIC_SPECIES
Re 186.21 Re.upf
Pd 106.42 Pd.upf
Cd 112.41 Cd.upf
CELL_PARAMETERS angstrom
7.5458 0.0000 0.0000
0.0000 7.5458 0.0000
3.7729 3.7729 2.5447
ATOMIC_POSITIONS crystal
Re 0.5899 0.1250 0.2500
Re 0.1601 0.6250 0.2500
Re 0.3750 0.4101 0.7500
Re 0.8750 0.8399 0.7500
Pd 0.5000 0.5000 0.0000
Pd 0.2500 0.7500 0.5000
Cd 0.0000 0.0000 0.0000
Cd 0.7500 0.2500 0.5000
! - N(E_F): 1.3891 states/eV/atom
! - Crystal system: tetragonal



! Cd2RePd GGA-PBE relaxed; values from VASP
&SYSTEM
  ibrav = 0, nat = 8, ntyp = 3
/
ATOMIC_SPECIES
Re 186.21 Re.upf
Pd 106.42 Pd.upf
Cd 112.41 Cd.upf
CELL_PARAMETERS angstrom
7.4938 0.0000 0.0000
0.0000 7.4938 0.0000
3.7469 3.7469 2.7642
ATOMIC_POSITIONS crystal
Re 0.0000 0.0000 0.0000
Re 0.7500 0.2500 0.5000
Pd 0.5000 0.5000 0.0000
Pd 0.2500 0.7500 0.5000
Cd 0.6163 0.1250 0.2500
Cd 0.1337 0.6250 0.2500
Cd 0.3750 0.3837 0.7500
Cd 0.8750 0.8663 0.7500
! - Excess energy over the best structure of this formula in the dataset: 1.260 eV/f.u.
! - N(E_F): 0.8808 states/eV/atom
! - Crystal system: tetragonal



Number 1: uncorrected energy -52.61 eV/cell. Number 2: uncorrected energy -31.91 eV/cell.